(1)
K4LiCu: optimized geometry, PBE.

Values from the calculation:
- Energy of formation from the pure elements: 299.3 kJ/mol of formula units
- Crystal system: cubic
- M_tot: 0.00 μB per cell
- Electronic total energy: -1.2164 eV/atom

abc: 7.652 7.652 7.652
angles: 60.00 60.00 60.00
Fractional positions:
K: 0.376 0.376 0.376
K: 0.376 0.376 0.873
K: 0.376 0.873 0.376
K: 0.873 0.376 0.376
Li: 0.000 0.000 0.000
Cu: 0.750 0.750 0.750

=====

(2)
ReCl: optimized geometry, PBE.

Values from the calculation:
- Crystal system: cubic
- M_tot: 0.00 μB per cell
- Electronic total energy: -5.5088 eV/atom
- Distance to the lowest polymorph of the same formula: 1750 meV per atom

abc: 3.734 3.734 3.734
angles: 60.00 60.00 60.00
Fractional positions:
Re: 0.000 0.000 0.000
Cl: 0.250 0.250 0.250

=====

(3)
Be3ReP: optimized geometry, PBE.

Values from the calculation:
- Energy of formation from the pure elements: 645.6 kJ/mol of formula units
- Crystal system: cubic
- M_tot: 0.00 μB per cell
- Electronic total energy: -4.4690 eV/atom
- Distance to the lowest polymorph of the same formula: 240 meV per atom

abc: 4.242 4.242 4.242
angles: 90.00 90.00 90.00
Fractional positions:
Be: 0.000 0.000 0.500
Be: 0.000 0.500 0.000
Be: 0.500 0.000 0.000
Re: 0.000 0.000 0.000
P: 0.500 0.500 0.500

=====

(4)
InSi2HPb: optimized geometry, PBE.

Values from the calculation:
- Crystal system: tetragonal
- M_tot: 0.00 μB per cell
- Electronic total energy: -3.4773 eV/atom

abc: 4.446 4.446 5.275
angles: 90.00 90.00 90.00
Fractional positions:
In: 0.000 0.000 0.000
Si: 0.000 0.500 0.500
Si: 0.500 0.000 0.500
H: 0.500 0.500 0.500
Pb: 0.500 0.500 0.000

=====

For reference, DOS(E_F) by record: 3.50, 0.93, 2.51, 2.33 states/eV per cell.